A plane-wave DFT calculation with PBE was carried out for crystalline TlGaB3 at its relaxed geometry.

Properties
VASP energy: -2.66 eV per atom
ΔH_f (0 K): 2427 meV per atom
crystal system: cubic
polymorph energy (0 for the lowest one): 0.645 eV/atom

Unit cell a=4.616 b=4.616 c=4.616 alpha=90.00 beta=90.00 gamma=90.00
Element x y z (fractional)
Tl 0.000 0.000 0.000
Ga 0.500 0.500 0.500
B 0.000 0.000 0.500
B 0.000 0.500 0.000
B 0.500 0.000 0.000

---

A plane-wave DFT calculation with PBE was carried out for crystalline TlGaB2 at its relaxed geometry.

Properties
VASP energy: -3.08 eV per atom
ΔH_f (0 K): 1612 meV per atom
crystal system: cubic
polymorph energy (0 for the lowest one): 0.559 eV/atom

Unit cell a=4.437 b=4.437 c=4.437 alpha=60.00 beta=60.00 gamma=60.00
Element x y z (fractional)
Tl 0.000 0.000 0.000
Ga 0.500 0.500 0.500
B 0.250 0.250 0.250
B 0.750 0.750 0.750

---

A plane-wave DFT calculation with PBE was carried out for crystalline TlGa3B at its relaxed geometry.

Properties
VASP energy: -3.22 eV per atom
ΔH_f (0 K): 404 meV per atom
crystal system: cubic
polymorph energy (0 for the lowest one): 0.000 eV/atom

Unit cell a=4.562 b=4.562 c=4.562 alpha=90.00 beta=90.00 gamma=90.00
Element x y z (fractional)
Tl 0.000 0.000 0.000
Ga 0.000 0.500 0.500
Ga 0.500 0.000 0.500
Ga 0.500 0.500 0.000
B 0.500 0.500 0.500

---

A plane-wave DFT calculation with PBE was carried out for crystalline UGaB at its relaxed geometry.

Properties
VASP energy: -6.78 eV per atom
ΔH_f (0 K): 214 meV per atom
crystal system: trigonal

Unit cell a=7.297 b=7.297 c=7.297 alpha=33.75 beta=33.75 gamma=33.75
Element x y z (fractional)
U 0.100 0.100 0.100
U 0.900 0.900 0.900
Ga 0.324 0.324 0.324
Ga 0.676 0.676 0.676
B 0.216 0.216 0.216
B 0.784 0.784 0.784

---

A plane-wave DFT calculation with PBE was carried out for crystalline V8GaB2 at its relaxed geometry.

Properties
VASP energy: -8.29 eV per atom
ΔH_f (0 K): -167 meV per atom
crystal system: monoclinic

Unit cell a=5.909 b=5.909 c=4.336 alpha=97.65 beta=97.65 gamma=111.02
Element x y z (fractional)
V 0.108 0.108 0.797
V 0.167 0.423 0.400
V 0.235 0.765 0.000
V 0.423 0.167 0.400
V 0.577 0.833 0.600
V 0.765 0.235 0.000
V 0.833 0.577 0.600
V 0.892 0.892 0.203
Ga 0.500 0.500 0.000
B 0.186 0.814 0.500
B 0.814 0.186 0.500

---

A plane-wave DFT calculation with PBE was carried out for crystalline V4Ga2B at its relaxed geometry.

Properties
VASP energy: -7.04 eV per atom
ΔH_f (0 K): -14 meV per atom
crystal system: tetragonal

Unit cell a=7.140 b=7.140 c=7.140 alpha=148.24 beta=148.24 gamma=45.52
Element x y z (fractional)
V 0.000 0.500 0.500
V 0.158 0.158 0.000
V 0.500 0.000 0.500
V 0.842 0.842 0.000
Ga 0.357 0.357 0.000
Ga 0.643 0.643 0.000
B 0.000 0.000 0.000

---

A plane-wave DFT calculation with PBE was carried out for crystalline V8Ga2B at its relaxed geometry.

Properties
VASP energy: -7.88 eV per atom
ΔH_f (0 K): -95 meV per atom
crystal system: monoclinic

Unit cell a=7.421 b=7.421 c=5.170 alpha=106.91 beta=106.91 gamma=32.39
Element x y z (fractional)
V 0.005 0.005 0.246
V 0.223 0.223 0.116
V 0.365 0.365 0.733
V 0.417 0.417 0.292
V 0.583 0.583 0.708
V 0.635 0.635 0.267
V 0.777 0.777 0.884
V 0.995 0.995 0.754
Ga 0.174 0.174 0.599
Ga 0.826 0.826 0.401
B 0.500 0.500 0.000

---

A plane-wave DFT calculation with PBE was carried out for crystalline VGa3B at its relaxed geometry.

Properties
VASP energy: -3.71 eV per atom
ΔH_f (0 K): 1266 meV per atom
crystal system: cubic

Unit cell a=4.784 b=4.784 c=4.784 alpha=90.00 beta=90.00 gamma=90.00
Element x y z (fractional)
V 0.000 0.000 0.000
Ga 0.000 0.000 0.500
Ga 0.000 0.500 0.000
Ga 0.500 0.000 0.000
B 0.500 0.500 0.500

---

Which of these has the lowest VASP energy? V8GaB2

---

Among the records above, which one has the highest ΔH_f (0 K)? TlGaB3